(1)
A plane-wave DFT calculation with SCAN was carried out for K2SnS3 at its PBEsol-relaxed geometry.

Results
E_tot, Ry/atom: -1.0758
E_form (uncorrected), kJ/mol of atoms: -102.31
Crystal system: triclinic

a b c (Å): 6.589 7.379 8.185
angles (deg): 75.87 73.87 67.61
Element x y z (fractional)
K 0.097 0.211 0.118
K 0.356 0.535 0.308
K 0.644 0.465 0.692
K 0.903 0.789 0.882
Sn 0.350 0.066 0.693
Sn 0.650 0.934 0.307
S 0.154 0.400 0.717
S 0.267 0.952 0.465
S 0.363 0.817 0.934
S 0.637 0.183 0.066
S 0.733 0.048 0.535
S 0.846 0.600 0.283



(2)
A plane-wave DFT calculation with SCAN was carried out for K10Zn4Sn4S17 at its PBEsol-relaxed geometry.

Results
E_tot, Ry/atom: -1.0142
E_form (uncorrected), kJ/mol of atoms: -105.48
Crystal system: trigonal

a b c (Å): 9.909 9.909 9.909
angles (deg): 90.97 90.97 90.97
Element x y z (fractional)
K 0.000 0.000 0.000
K 0.026 0.672 0.672
K 0.340 0.340 0.842
K 0.340 0.842 0.340
K 0.386 0.843 0.843
K 0.672 0.026 0.672
K 0.672 0.672 0.026
K 0.842 0.340 0.340
K 0.843 0.386 0.843
K 0.843 0.843 0.386
Zn 0.205 0.205 0.205
Zn 0.209 0.474 0.474
Zn 0.474 0.209 0.474
Zn 0.474 0.474 0.209
Sn 0.115 0.115 0.561
Sn 0.115 0.561 0.115
Sn 0.561 0.115 0.115
Sn 0.569 0.569 0.569
S 0.065 0.065 0.327
S 0.065 0.327 0.065
S 0.069 0.349 0.614
S 0.069 0.614 0.349
S 0.327 0.065 0.065
S 0.337 0.617 0.617
S 0.341 0.341 0.341
S 0.349 0.069 0.614
S 0.349 0.614 0.069
S 0.614 0.069 0.349
S 0.614 0.349 0.069
S 0.617 0.337 0.617
S 0.617 0.617 0.337
S 0.685 0.974 0.974
S 0.708 0.708 0.708
S 0.974 0.685 0.974
S 0.974 0.974 0.685



(3)
A plane-wave DFT calculation with SCAN was carried out for KZn2SnS at its PBEsol-relaxed geometry.

Results
E_tot, Ry/atom: -1.1023
E_form (uncorrected), kJ/mol of atoms: 114.21
Crystal system: tetragonal

a b c (Å): 5.318 5.318 6.497
angles (deg): 90.00 90.00 90.00
Element x y z (fractional)
K 0.000 0.000 0.000
Zn 0.000 0.500 0.000
Zn 0.500 0.000 0.000
Sn 0.000 0.000 0.500
S 0.500 0.500 0.500



Number 1: total magnetic moment 0.00 μB per cell. Number 2: total magnetic moment 0.00 μB per cell. Number 3: total magnetic moment 0.96 μB per cell.